No. 1
Pa2CoCu: optimized geometry, PBE.

```
Pa2CoCu
1.0
-1.6021 2.8562 0.0690
-2.2571 0.5565 2.3077
5.2501 4.6702 6.3335
Pa Co Cu
2 1 1
Direct
0.1012 0.1012 0.6963
0.8988 0.8988 0.3037
0.5000 0.5000 0.5000
0.0000 0.0000 0.0000
```

Properties
- Formation energy from the elements: 0.445 eV per atom
- VASP energy: -28.41 eV/cell
- Polymorph energy (0 for the lowest one): 0.4616 eV per atom
- Volume: 86.1 Å³/f.u.


No. 2
PaCoCu: optimized geometry, PBE.

```
PaCoCu
1.0
-2.1066 -1.0946 -2.1397
1.0640 -3.9957 0.9965
-3.1443 1.9498 2.0982
Pa Co Cu
1 1 1
Direct
0.6665 0.3333 0.6667
0.1662 0.6667 0.3333
0.1674 0.0000 0.0000
```

Properties
- Formation energy from the elements: -0.067 eV per atom
- VASP energy: -20.90 eV/cell
- Polymorph energy (0 for the lowest one): 0.1540 eV per atom
- Volume: 50.1 Å³/f.u.


No. 3
PaCo2Cu: optimized geometry, PBE.

```
PaCo2Cu
1.0
4.2777 0.0000 0.0000
2.1389 3.7046 0.0000
2.1389 1.2349 3.9697
Pa Co Cu
1 2 1
Direct
0.5000 0.5000 0.5000
0.3054 0.3054 0.0837
0.6946 0.6946 0.9163
0.0000 0.0000 0.0000
```

Properties
- Formation energy from the elements: -0.203 eV per atom
- VASP energy: -28.61 eV/cell
- Polymorph energy (0 for the lowest one): 0.0333 eV per atom
- Volume: 62.9 Å³/f.u.


No. 4
PaCoCu: optimized geometry, PBE.

```
PaCoCu
1.0
3.2911 0.0002 -0.0001
-0.0001 3.9721 -0.0001
0.0003 0.0003 7.8588
Pa Co Cu
2 2 2
Direct
0.3116 0.7162 0.1038
0.3116 0.2162 0.6892
0.8116 0.2162 0.0045
0.8116 0.7162 0.7884
0.8116 0.2162 0.3127
0.8116 0.7163 0.4801
```

Properties
- Formation energy from the elements: -0.182 eV per atom
- VASP energy: -42.49 eV/cell
- Polymorph energy (0 for the lowest one): 0.0388 eV per atom
- Volume: 51.4 Å³/f.u.


No. 5
PaCo4Cu: optimized geometry, PBE.

```
PaCo4Cu
1.0
-0.1042 -4.4349 -1.9821
2.0498 -3.7459 2.3183
-2.7872 -3.4684 1.9518
Pa Co Cu
1 4 1
Direct
0.2500 0.2500 0.2500
0.6256 0.6256 0.1232
0.6256 0.1232 0.6256
0.6256 0.6256 0.6256
0.1232 0.6256 0.6256
0.0000 0.0000 0.0000
```

Properties
- Formation energy from the elements: -0.134 eV per atom
- VASP energy: -42.82 eV/cell
- Volume: 81.1 Å³/f.u.


No. 6
PaCoCu: optimized geometry, PBE.

```
PaCoCu
1.0
-0.8940 4.0013 -2.4799
2.3170 -2.4603 -4.8049
-7.5641 -1.1785 0.8254
Pa Co Cu
4 4 4
Direct
0.8839 0.3038 0.1137
0.3839 0.6962 0.3863
0.1161 0.6962 0.8863
0.6161 0.3038 0.6137
0.1441 0.3287 0.5229
0.6441 0.6713 0.9771
0.8559 0.6713 0.4771
0.3559 0.3287 0.0229
0.9081 0.9257 0.2843
0.4081 0.0743 0.2157
0.0919 0.0743 0.7157
0.5919 0.9257 0.7843
```

Properties
- Formation energy from the elements: -0.221 eV per atom
- VASP energy: -85.44 eV/cell
- Polymorph energy (0 for the lowest one): 0.0000 eV per atom
- Volume: 49.4 Å³/f.u.